No. 1
An optimized crystal structure of MgScP2, computed with PBE.

## Properties
Symmetry ... Pmmm (47)
DOS at the Fermi energy ... 1.58 states/eV/cell
Formation energy ... -0.625 eV per atom

Cell lengths 3.5266, 4.0137, 4.9114 Å; angles 90.00, 90.00, 90.00 degrees
Fractional positions:
Mg  0.0000  0.0000  0.0000
Sc  0.0000  0.5000  0.5000
P  0.5000  0.0000  0.5000
P  0.5000  0.5000  0.0000

---

No. 2
An optimized crystal structure of TbMg2Cu2, computed with PBE.

## Properties
Energy above the lowest structure with this stoichiometry ... 0.031 eV per atom
Symmetry ... P2_1/m (11)
DOS at the Fermi energy ... 6.87 states/eV/cell
Formation energy ... -0.099 eV per atom

Cell lengths 4.8626, 3.8047, 11.0330 Å; angles 90.00, 97.10, 90.00 degrees
Fractional positions:
Tb  0.1857  0.2500  0.2430
Tb  0.8143  0.7500  0.7570
Mg  0.2480  0.7500  0.4937
Mg  0.3496  0.2500  0.8961
Mg  0.6504  0.7500  0.1039
Mg  0.7520  0.2500  0.5063
Cu  0.1380  0.7500  0.0335
Cu  0.2985  0.2500  0.6600
Cu  0.7015  0.7500  0.3400
Cu  0.8620  0.2500  0.9665

---

No. 3
An optimized crystal structure of YHo12Er6, computed with PBE.

## Properties
Energy above the lowest structure with this stoichiometry ... 0.286 eV per atom
Symmetry ... R-3m (166)
DOS at the Fermi energy ... 24.60 states/eV/cell
Formation energy ... 0.448 eV per atom

Cell lengths 9.2568, 9.2568, 9.2568 Å; angles 107.87, 107.87, 107.87 degrees
Fractional positions:
Y  0.0000  0.0000  0.0000
Ho  0.1108  0.5000  0.8892
Ho  0.1108  0.8892  0.5000
Ho  0.1423  0.3606  0.3606
Ho  0.3606  0.1423  0.3606
Ho  0.3606  0.3606  0.1423
Ho  0.5000  0.1108  0.8892
Ho  0.5000  0.8892  0.1108
Ho  0.6394  0.6394  0.8577
Ho  0.6394  0.8577  0.6394
Ho  0.8577  0.6394  0.6394
Ho  0.8892  0.1108  0.5000
Ho  0.8892  0.5000  0.1108
Er  0.2668  0.6848  0.6848
Er  0.3152  0.3152  0.7332
Er  0.3152  0.7332  0.3152
Er  0.6848  0.2668  0.6848
Er  0.6848  0.6848  0.2668
Er  0.7332  0.3152  0.3152

---

No. 4
An optimized crystal structure of SmGdDyLu, computed with PBE.

## Properties
Symmetry ... F-43m (216)
DOS at the Fermi energy ... 7.87 states/eV/cell
Formation energy ... 0.108 eV per atom

Cell lengths 5.6607, 5.6607, 5.6607 Å; angles 60.00, 60.00, 60.00 degrees
Fractional positions:
Sm  0.0000  0.0000  0.0000
Gd  0.5000  0.5000  0.5000
Dy  0.2500  0.2500  0.2500
Lu  0.7500  0.7500  0.7500

---

No. 5
An optimized crystal structure of InMo2Os, computed with PBE.

## Properties
Symmetry ... P4mm (99)
DOS at the Fermi energy ... 2.57 states/eV/cell
Formation energy ... 0.272 eV per atom

Cell lengths 2.8859, 2.8859, 8.0494 Å; angles 90.00, 90.00, 90.00 degrees
Fractional positions:
In  0.0000  0.0000  0.0000
Mo  0.0000  0.0000  0.5303
Mo  0.5000  0.5000  0.2775
Os  0.5000  0.5000  0.7399

---

No. 6
An optimized crystal structure of AsPRh2, computed with PBE.

## Properties
Energy above the lowest structure with this stoichiometry ... 0.203 eV per atom
Symmetry ... P4mm (99)
DOS at the Fermi energy ... 2.42 states/eV/cell
Formation energy ... -0.238 eV per atom

Cell lengths 2.9509, 2.9509, 7.6581 Å; angles 90.00, 90.00, 90.00 degrees
Fractional positions:
As  0.0000  0.0000  0.0000
P  0.5000  0.5000  0.3898
Rh  0.0000  0.0000  0.5458
Rh  0.5000  0.5000  0.8165

---

No. 7
An optimized crystal structure of Ba2FeMo, computed with PBE.

## Properties
Energy above the lowest structure with this stoichiometry ... 0.048 eV per atom
Symmetry ... Imm2 (44)
DOS at the Fermi energy ... 4.97 states/eV/cell
Formation energy ... 0.730 eV per atom

Cell lengths 6.9289, 6.9289, 6.9289 Å; angles 149.01, 134.02, 56.49 degrees
Fractional positions:
Ba  0.0000  0.0000  0.0000
Ba  0.7179  0.2179  0.5000
Fe  0.4153  0.4153  0.0000
Mo  0.3091  0.8091  0.5000

---

No. 8
An optimized crystal structure of CdPdPt4, computed with PBE.

## Properties
Energy above the lowest structure with this stoichiometry ... 0.042 eV per atom
Symmetry ... F-43m (216)
DOS at the Fermi energy ... 5.47 states/eV/cell
Formation energy ... -0.042 eV per atom

Cell lengths 5.2870, 5.2870, 5.2870 Å; angles 60.00, 60.00, 60.00 degrees
Fractional positions:
Cd  0.0000  0.0000  0.0000
Pd  0.2500  0.2500  0.2500
Pt  0.1256  0.6248  0.6248
Pt  0.6248  0.1256  0.6248
Pt  0.6248  0.6248  0.1256
Pt  0.6248  0.6248  0.6248